# PBE-GGA ScBeNb3, relaxed
data_ScBeNb3
_chemical_formula_sum 'Sc1 Be1 Nb3'
_cell_length_a 4.5356
_cell_length_b 4.5356
_cell_length_c 4.5356
_cell_angle_alpha 90.00
_cell_angle_beta 90.00
_cell_angle_gamma 90.00
_symmetry_space_group_name_H-M 'P 1'
_symmetry_Int_Tables_number 1
loop_
_symmetry_equiv_pos_as_xyz
'x,y,z'
loop_
_atom_site_label
_atom_site_fract_x
_atom_site_fract_y
_atom_site_fract_z
Sc1 0.0000 0.0000 0.0000
Be1 0.5000 0.5000 0.5000
Nb1 0.0000 0.5000 0.5000
Nb2 0.5000 0.0000 0.5000
Nb3 0.5000 0.5000 0.0000
# Energy relative to the elements ... 0.48 eV per atom
# Symmetry ... Pm-3m (221)
# Energy above the lowest structure with this stoichiometry ... 0.0 kJ per mole of atoms


# PBE-GGA ScBeNb2, relaxed
data_ScBeNb2
_chemical_formula_sum 'Sc2 Be2 Nb4'
_cell_length_a 5.8435
_cell_length_b 5.8435
_cell_length_c 5.8435
_cell_angle_alpha 101.06
_cell_angle_beta 101.06
_cell_angle_gamma 128.04
_symmetry_space_group_name_H-M 'P 1'
_symmetry_Int_Tables_number 1
loop_
_symmetry_equiv_pos_as_xyz
'x,y,z'
loop_
_atom_site_label
_atom_site_fract_x
_atom_site_fract_y
_atom_site_fract_z
Sc1 0.0000 0.0000 0.0000
Sc2 0.7500 0.2500 0.5000
Be1 0.2500 0.7500 0.5000
Be2 0.5000 0.5000 0.0000
Nb1 0.1721 0.1250 0.5471
Nb2 0.3750 0.8279 0.9529
Nb3 0.5779 0.6250 0.4529
Nb4 0.8750 0.4221 0.0471
# Energy relative to the elements ... 0.41 eV per atom
# Symmetry ... I-42d (122)


# PBE-GGA ScBe3Nb, relaxed
data_ScBe3Nb
_chemical_formula_sum 'Sc1 Be3 Nb1'
_cell_length_a 4.2308
_cell_length_b 4.2308
_cell_length_c 4.2308
_cell_angle_alpha 90.00
_cell_angle_beta 90.00
_cell_angle_gamma 90.00
_symmetry_space_group_name_H-M 'P 1'
_symmetry_Int_Tables_number 1
loop_
_symmetry_equiv_pos_as_xyz
'x,y,z'
loop_
_atom_site_label
_atom_site_fract_x
_atom_site_fract_y
_atom_site_fract_z
Sc1 0.0000 0.0000 0.0000
Be1 0.0000 0.0000 0.5000
Be2 0.0000 0.5000 0.0000
Be3 0.5000 0.0000 0.0000
Nb1 0.5000 0.5000 0.5000
# Energy relative to the elements ... 1.52 eV per atom
# Symmetry ... Pm-3m (221)
# Energy above the lowest structure with this stoichiometry ... 56.9 kJ per mole of atoms


# PBE-GGA ScBe4Nb, relaxed
data_ScBe4Nb
_chemical_formula_sum 'Sc1 Be4 Nb1'
_cell_length_a 4.6979
_cell_length_b 4.6979
_cell_length_c 4.6979
_cell_angle_alpha 60.00
_cell_angle_beta 60.00
_cell_angle_gamma 60.00
_symmetry_space_group_name_H-M 'P 1'
_symmetry_Int_Tables_number 1
loop_
_symmetry_equiv_pos_as_xyz
'x,y,z'
loop_
_atom_site_label
_atom_site_fract_x
_atom_site_fract_y
_atom_site_fract_z
Sc1 0.0000 0.0000 0.0000
Be1 0.1334 0.6222 0.6222
Be2 0.6222 0.1334 0.6222
Be3 0.6222 0.6222 0.1334
Be4 0.6222 0.6222 0.6222
Nb1 0.2500 0.2500 0.2500
# Energy relative to the elements ... -0.07 eV per atom
# Symmetry ... F-43m (216)
# Energy above the lowest structure with this stoichiometry ... 4.4 kJ per mole of atoms


# PBE-GGA ScBeNb3, relaxed
data_ScBeNb3
_chemical_formula_sum 'Sc1 Be1 Nb3'
_cell_length_a 4.7096
_cell_length_b 4.7096
_cell_length_c 4.7096
_cell_angle_alpha 90.00
_cell_angle_beta 90.00
_cell_angle_gamma 90.00
_symmetry_space_group_name_H-M 'P 1'
_symmetry_Int_Tables_number 1
loop_
_symmetry_equiv_pos_as_xyz
'x,y,z'
loop_
_atom_site_label
_atom_site_fract_x
_atom_site_fract_y
_atom_site_fract_z
Sc1 0.0000 0.0000 0.0000
Be1 0.5000 0.5000 0.5000
Nb1 0.0000 0.0000 0.5000
Nb2 0.0000 0.5000 0.0000
Nb3 0.5000 0.0000 0.0000
# Energy relative to the elements ... 1.87 eV per atom
# Symmetry ... Pm-3m (221)
# Energy above the lowest structure with this stoichiometry ... 134.7 kJ per mole of atoms


# PBE-GGA ScBe2Nb2, relaxed
data_ScBe2Nb2
_chemical_formula_sum 'Sc2 Be4 Nb4'
_cell_length_a 7.0014
_cell_length_b 7.0014
_cell_length_c 3.0994
_cell_angle_alpha 90.00
_cell_angle_beta 90.00
_cell_angle_gamma 90.00
_symmetry_space_group_name_H-M 'P 1'
_symmetry_Int_Tables_number 1
loop_
_symmetry_equiv_pos_as_xyz
'x,y,z'
loop_
_atom_site_label
_atom_site_fract_x
_atom_site_fract_y
_atom_site_fract_z
Sc1 0.0000 0.0000 0.0000
Sc2 0.5000 0.5000 0.0000
Be1 0.1125 0.3875 0.0000
Be2 0.3875 0.8875 0.0000
Be3 0.6125 0.1125 0.0000
Be4 0.8875 0.6125 0.0000
Nb1 0.1772 0.6772 0.5000
Nb2 0.3228 0.1772 0.5000
Nb3 0.6772 0.8228 0.5000
Nb4 0.8228 0.3228 0.5000
# Energy relative to the elements ... 0.02 eV per atom
# Symmetry ... P4/mbm (127)


# PBE-GGA ScBe4Nb, relaxed
data_ScBe4Nb
_chemical_formula_sum 'Sc1 Be4 Nb1'
_cell_length_a 3.0439
_cell_length_b 3.7808
_cell_length_c 6.5758
_cell_angle_alpha 90.00
_cell_angle_beta 90.00
_cell_angle_gamma 90.00
_symmetry_space_group_name_H-M 'P 1'
_symmetry_Int_Tables_number 1
loop_
_symmetry_equiv_pos_as_xyz
'x,y,z'
loop_
_atom_site_label
_atom_site_fract_x
_atom_site_fract_y
_atom_site_fract_z
Sc1 0.0000 0.0000 0.0000
Be1 0.5000 0.0000 0.3414
Be2 0.5000 0.0000 0.6586
Be3 0.5000 0.5000 0.1762
Be4 0.5000 0.5000 0.8238
Nb1 0.0000 0.5000 0.5000
# Energy relative to the elements ... -0.11 eV per atom
# Symmetry ... Pmmm (47)
# Energy above the lowest structure with this stoichiometry ... 0.0 kJ per mole of atoms


# PBE-GGA ScBe17Nb, relaxed
data_ScBe17Nb
_chemical_formula_sum 'Sc1 Be17 Nb1'
_cell_length_a 5.6145
_cell_length_b 5.6145
_cell_length_c 5.6145
_cell_angle_alpha 82.92
_cell_angle_beta 82.92
_cell_angle_gamma 82.92
_symmetry_space_group_name_H-M 'P 1'
_symmetry_Int_Tables_number 1
loop_
_symmetry_equiv_pos_as_xyz
'x,y,z'
loop_
_atom_site_label
_atom_site_fract_x
_atom_site_fract_y
_atom_site_fract_z
Sc1 0.0000 0.0000 0.0000
Be1 0.0082 0.0082 0.5007
Be2 0.0082 0.5007 0.0082
Be3 0.1629 0.6590 0.6590
Be4 0.3187 0.3187 0.8200
Be5 0.3187 0.8200 0.3187
Be6 0.3721 0.6612 0.9529
Be7 0.3721 0.9529 0.6612
Be8 0.5007 0.0082 0.0082
Be9 0.5629 0.5629 0.5629
Be10 0.6590 0.1629 0.6590
Be11 0.6590 0.6590 0.1629
Be12 0.6612 0.3721 0.9529
Be13 0.6612 0.9529 0.3721
Be14 0.7576 0.7576 0.7576
Be15 0.8200 0.3187 0.3187
Be16 0.9529 0.3721 0.6612
Be17 0.9529 0.6612 0.3721
Nb1 0.3256 0.3256 0.3256
# Energy relative to the elements ... -0.20 eV per atom
# Symmetry ... R3m (160)


# PBE-GGA ScBe3Nb, relaxed
data_ScBe3Nb
_chemical_formula_sum 'Sc1 Be3 Nb1'
_cell_length_a 4.3934
_cell_length_b 4.3934
_cell_length_c 4.3934
_cell_angle_alpha 90.00
_cell_angle_beta 90.00
_cell_angle_gamma 90.00
_symmetry_space_group_name_H-M 'P 1'
_symmetry_Int_Tables_number 1
loop_
_symmetry_equiv_pos_as_xyz
'x,y,z'
loop_
_atom_site_label
_atom_site_fract_x
_atom_site_fract_y
_atom_site_fract_z
Sc1 0.0000 0.0000 0.0000
Be1 0.0000 0.5000 0.5000
Be2 0.5000 0.0000 0.5000
Be3 0.5000 0.5000 0.0000
Nb1 0.5000 0.5000 0.5000
# Energy relative to the elements ... 0.93 eV per atom
# Symmetry ... Pm-3m (221)
# Energy above the lowest structure with this stoichiometry ... 0.0 kJ per mole of atoms


# PBE-GGA ScBeNbSe2, relaxed
data_ScBeNbSe2
_chemical_formula_sum 'Sc1 Be1 Nb1 Se2'
_cell_length_a 4.5973
_cell_length_b 4.5973
_cell_length_c 4.3705
_cell_angle_alpha 90.00
_cell_angle_beta 90.00
_cell_angle_gamma 90.00
_symmetry_space_group_name_H-M 'P 1'
_symmetry_Int_Tables_number 1
loop_
_symmetry_equiv_pos_as_xyz
'x,y,z'
loop_
_atom_site_label
_atom_site_fract_x
_atom_site_fract_y
_atom_site_fract_z
Sc1 0.0000 0.0000 0.0000
Be1 0.5000 0.5000 0.5000
Nb1 0.5000 0.5000 0.0000
Se1 0.0000 0.5000 0.5000
Se2 0.5000 0.0000 0.5000
# Symmetry ... P4/mmm (123)
# E_form (uncorrected) ... 0.169 eV per atom


Number 1: DOS(E_F) 1.198 states/eV per atom, total DFT energy (no corrections) -37.9 eV for the cell shown. Number 2: DOS(E_F) 1.072 states/eV per atom, total DFT energy (no corrections) -57.1 eV for the cell shown. Number 3: DOS(E_F) 0.189 states/eV per atom, total DFT energy (no corrections) -20.0 eV for the cell shown. Number 4: DOS(E_F) 0.730 states/eV per atom, total DFT energy (no corrections) -31.7 eV for the cell shown. Number 5: DOS(E_F) 0.906 states/eV per atom, total DFT energy (no corrections) -30.9 eV for the cell shown. Number 6: DOS(E_F) 1.326 states/eV per atom, total DFT energy (no corrections) -67.6 eV for the cell shown. Number 7: DOS(E_F) 0.636 states/eV per atom, total DFT energy (no corrections) -32.0 eV for the cell shown. Number 8: DOS(E_F) 0.293 states/eV per atom, total DFT energy (no corrections) -83.6 eV for the cell shown. Number 9: DOS(E_F) 0.881 states/eV per atom, total DFT energy (no corrections) -22.9 eV for the cell shown. Number 10: DOS(E_F) 1.024 states/eV per atom, total DFT energy (no corrections) -26.3 eV for the cell shown.